Entry 1:
{"formula": "HoBe6Ni2", "functional": "GGA-PBE", "state": "relaxed", "lattice_angstrom": [[-1.808, 2.984, 4.705], [1.808, -2.984, 4.705], [1.808, 2.984, -4.705]], "species": ["Ho", "Be", "Be", "Be", "Be", "Be", "Be", "Ni", "Ni"], "fractional_positions": [[0.000, 0.000, 0.000], [0.090, 0.288, 0.802], [0.340, 0.500, 0.840], [0.485, 0.288, 0.198], [0.515, 0.712, 0.802], [0.660, 0.500, 0.160], [0.910, 0.712, 0.198], [0.362, 0.862, 0.500], [0.638, 0.138, 0.500]], "magmom_total_mub_per_fu": 0.0, "space_group": "Immm", "vol_a3_per_cell": 101.6, "final_energy_ev_per_atom": -4.359}

***

Entry 2:
{"formula": "Ho2BeNi2", "functional": "GGA-PBE", "state": "relaxed", "lattice_angstrom": [[4.508, -2.680, 0.000], [4.508, 2.680, 0.000], [-1.677, 0.000, 7.088]], "species": ["Ho", "Ho", "Ho", "Ho", "Be", "Be", "Ni", "Ni", "Ni", "Ni"], "fractional_positions": [[0.021, 0.283, 0.151], [0.283, 0.021, 0.651], [0.717, 0.979, 0.349], [0.979, 0.717, 0.849], [0.376, 0.624, 0.250], [0.624, 0.376, 0.750], [0.249, 0.502, 0.497], [0.498, 0.751, 0.003], [0.502, 0.249, 0.997], [0.751, 0.498, 0.503]], "magmom_total_mub_per_fu": 0.0, "space_group": "C2/c", "vol_a3_per_cell": 171.2, "final_energy_ev_per_atom": -5.256}

***

Entry 3:
{"formula": "HoBeNi6", "functional": "GGA-PBE", "state": "relaxed", "lattice_angstrom": [[3.695, 0.000, 0.000], [0.000, 3.695, 0.000], [0.000, 0.000, 7.644]], "species": ["Ho", "Be", "Ni", "Ni", "Ni", "Ni", "Ni", "Ni"], "fractional_positions": [[0.000, 0.000, 0.000], [0.000, 0.000, 0.500], [0.000, 0.500, 0.341], [0.000, 0.500, 0.659], [0.500, 0.000, 0.341], [0.500, 0.000, 0.659], [0.500, 0.500, 0.149], [0.500, 0.500, 0.851]], "magmom_total_mub_per_fu": 1.5, "space_group": "P4/mmm", "vol_a3_per_cell": 104.4, "final_energy_ev_per_atom": -5.490}

***

Entry 4:
{"formula": "HoBe2Ni", "functional": "GGA-PBE", "state": "relaxed", "lattice_angstrom": [[1.878, 1.084, 4.748], [-1.878, 1.084, 4.748], [0.000, -2.168, 4.748]], "species": ["Ho", "Be", "Be", "Ni"], "fractional_positions": [[0.000, 0.000, 0.000], [0.193, 0.193, 0.193], [0.807, 0.807, 0.807], [0.500, 0.500, 0.500]], "magmom_total_mub_per_fu": 0.0, "space_group": "R-3m", "vol_a3_per_cell": 58.0, "final_energy_ev_per_atom": -4.721}

***

Entry 5:
{"formula": "Ho2BeNi", "functional": "GGA-PBE", "state": "relaxed", "lattice_angstrom": [[0.000, 3.375, 3.375], [3.375, 0.000, 3.375], [3.375, 3.375, 0.000]], "species": ["Ho", "Ho", "Be", "Ni"], "fractional_positions": [[0.250, 0.250, 0.250], [0.750, 0.750, 0.750], [0.000, 0.000, 0.000], [0.500, 0.500, 0.500]], "de_polymorph_ev_per_fu": 0.086, "magmom_total_mub_per_fu": 0.0, "space_group": "Fm-3m", "vol_a3_per_cell": 76.9, "final_energy_ev_per_atom": -4.820}

***

Entry 6:
{"formula": "Ho2Be12Ni5", "functional": "GGA-PBE", "state": "relaxed", "lattice_angstrom": [[3.977, 2.296, 3.800], [-3.977, 2.296, 3.800], [0.000, -4.592, 3.800]], "species": ["Ho", "Ho", "Be", "Be", "Be", "Be", "Be", "Be", "Be", "Be", "Be", "Be", "Be", "Be", "Ni", "Ni", "Ni", "Ni", "Ni"], "fractional_positions": [[0.159, 0.159, 0.159], [0.841, 0.841, 0.841], [0.165, 0.165, 0.649], [0.165, 0.649, 0.165], [0.225, 0.500, 0.775], [0.225, 0.775, 0.500], [0.351, 0.835, 0.835], [0.500, 0.225, 0.775], [0.500, 0.775, 0.225], [0.649, 0.165, 0.165], [0.775, 0.225, 0.500], [0.775, 0.500, 0.225], [0.835, 0.351, 0.835], [0.835, 0.835, 0.351], [0.000, 0.500, 0.500], [0.399, 0.399, 0.399], [0.500, 0.000, 0.500], [0.500, 0.500, 0.000], [0.601, 0.601, 0.601]], "magmom_total_mub_per_fu": 0.0, "space_group": "R-3m", "vol_a3_per_cell": 208.2, "final_energy_ev_per_atom": -4.629}